(a)
VASP calculation (GGA-PBE) on LaMgTa after structural relaxation.

The structure in CIF format:
```
data_LaMgTa
_cell_length_a 7.096
_cell_length_b 7.096
_cell_length_c 7.096
_cell_angle_alpha 90.00
_cell_angle_beta 90.00
_cell_angle_gamma 90.00
_symmetry_space_group_name_H-M 'F -4 3 m'
_symmetry_Int_Tables_number 216
_symmetry_space_group_name_Hall 'F -4 2 3'
loop_
_atom_site_label
_atom_site_type_symbol
_atom_site_fract_x
_atom_site_fract_y
_atom_site_fract_z
La1 La 0.000 0.000 0.000
Mg1 Mg 0.250 0.250 0.250
Ta1 Ta 0.250 0.250 0.750
```

(b)
VASP calculation (GGA-PBE) on LaMgTa after structural relaxation.

The structure in CIF format:
```
data_LaMgTa
_cell_length_a 3.143
_cell_length_b 5.536
_cell_length_c 8.996
_cell_angle_alpha 78.68
_cell_angle_beta 85.59
_cell_angle_gamma 87.74
_symmetry_space_group_name_H-M 'P -1'
_symmetry_Int_Tables_number 2
loop_
_symmetry_equiv_pos_as_xyz
'x,y,z'
'-x,-y,-z'
loop_
_atom_site_label
_atom_site_type_symbol
_atom_site_fract_x
_atom_site_fract_y
_atom_site_fract_z
La1 La 0.127 0.160 0.306
Mg1 Mg 0.263 0.729 0.074
Ta1 Ta 0.324 0.356 0.617
```

(c)
VASP calculation (GGA-PBE) on LaMgTa after structural relaxation.

The structure in CIF format:
```
data_LaMgTa
_cell_length_a 3.187
_cell_length_b 4.807
_cell_length_c 10.026
_cell_angle_alpha 90.00
_cell_angle_beta 98.22
_cell_angle_gamma 90.00
_symmetry_space_group_name_H-M 'P 1 21/m 1'
_symmetry_Int_Tables_number 11
loop_
_symmetry_equiv_pos_as_xyz
'x,y,z'
'-x,-y,-z'
'-x,y+1/2,-z'
'x,-y+1/2,z'
loop_
_atom_site_label
_atom_site_type_symbol
_atom_site_fract_x
_atom_site_fract_y
_atom_site_fract_z
La1 La 0.104 0.250 0.232
Mg1 Mg 0.299 0.250 0.578
Ta1 Ta 0.405 0.750 0.056
```

Which is most stable, and by how much? (c), by 0.050 eV/atom.

(a)
VASP calculation (GGA-PBE) on La2Tb6Mg after structural relaxation.

The structure in CIF format:
```
data_La2Tb6Mg
_cell_length_a 10.667
_cell_length_b 10.667
_cell_length_c 5.107
_cell_angle_alpha 90.00
_cell_angle_beta 90.00
_cell_angle_gamma 90.00
_symmetry_space_group_name_H-M 'P 42/m n m'
_symmetry_Int_Tables_number 136
_symmetry_space_group_name_Hall '-P 4n 2n'
loop_
_atom_site_label
_atom_site_type_symbol
_atom_site_fract_x
_atom_site_fract_y
_atom_site_fract_z
La1 La 0.162 0.162 0.000
Tb1 Tb 0.002 0.666 0.500
Tb2 Tb 0.171 0.829 0.000
Mg1 Mg 0.000 0.000 0.500
```

(b)
VASP calculation (GGA-PBE) on La2Tb6Mg after structural relaxation.

The structure in CIF format:
```
data_La2Tb6Mg
_cell_length_a 16.879
_cell_length_b 5.571
_cell_length_c 6.759
_cell_angle_alpha 90.00
_cell_angle_beta 112.06
_cell_angle_gamma 90.00
_symmetry_space_group_name_H-M 'C 1 2/m 1'
_symmetry_Int_Tables_number 12
loop_
_symmetry_equiv_pos_as_xyz
'x,y,z'
'-x,-y,-z'
'-x,y,-z'
'x,-y,z'
'x+1/2,y+1/2,z'
'-x+1/2,-y+1/2,-z'
'-x+1/2,y+1/2,-z'
'x+1/2,-y+1/2,z'
loop_
_atom_site_label
_atom_site_type_symbol
_atom_site_fract_x
_atom_site_fract_y
_atom_site_fract_z
La1 La 0.112 0.000 0.148
Tb1 Tb 0.030 0.500 0.789
Tb2 Tb 0.174 0.500 0.554
Tb3 Tb 0.249 0.000 0.860
Mg1 Mg 0.000 0.000 0.500
```

Which is most stable, and by how much? (a), by 0.054 eV/atom.

(a)
VASP calculation (GGA-PBE) on La2Tb8Mg after structural relaxation.

The structure in CIF format:
```
data_La2Tb8Mg
_cell_length_a 5.116
_cell_length_b 5.116
_cell_length_c 14.047
_cell_angle_alpha 90.00
_cell_angle_beta 90.00
_cell_angle_gamma 90.00
_symmetry_space_group_name_H-M 'P 4/m m m'
_symmetry_Int_Tables_number 123
_symmetry_space_group_name_Hall '-P 4 2'
loop_
_atom_site_label
_atom_site_type_symbol
_atom_site_fract_x
_atom_site_fract_y
_atom_site_fract_z
La1 La 0.000 0.000 0.187
Tb1 Tb 0.000 0.500 0.000
Tb2 Tb 0.000 0.500 0.361
Tb3 Tb 0.500 0.500 0.181
Mg1 Mg 0.000 0.000 0.500
```

(b)
VASP calculation (GGA-PBE) on La2Tb8Mg after structural relaxation.

The structure in CIF format:
```
data_La2Tb8Mg
_cell_length_a 17.702
_cell_length_b 7.771
_cell_length_c 5.580
_cell_angle_alpha 90.00
_cell_angle_beta 108.31
_cell_angle_gamma 90.00
_symmetry_space_group_name_H-M 'C 1 2/m 1'
_symmetry_Int_Tables_number 12
loop_
_symmetry_equiv_pos_as_xyz
'x,y,z'
'-x,-y,-z'
'-x,y,-z'
'x,-y,z'
'x+1/2,y+1/2,z'
'-x+1/2,-y+1/2,-z'
'-x+1/2,y+1/2,-z'
'x+1/2,-y+1/2,z'
loop_
_atom_site_label
_atom_site_type_symbol
_atom_site_fract_x
_atom_site_fract_y
_atom_site_fract_z
La1 La 0.196 0.000 0.196
Tb1 Tb 0.000 0.233 0.000
Tb2 Tb 0.133 0.221 0.634
Tb3 Tb 0.173 0.500 0.173
Mg1 Mg 0.000 0.500 0.500
```

Which is most stable, and by how much? (a), by 0.008 eV/atom.

(a)
VASP calculation (GGA-PBE) on La2Tb3Mg after structural relaxation.

The structure in CIF format:
```
data_La2Tb3Mg
_cell_length_a 6.475
_cell_length_b 10.257
_cell_length_c 5.865
_cell_angle_alpha 90.00
_cell_angle_beta 90.00
_cell_angle_gamma 90.00
_symmetry_space_group_name_H-M 'I m m 2'
_symmetry_Int_Tables_number 44
loop_
_symmetry_equiv_pos_as_xyz
'x,y,z'
'-x,-y,z'
'-x,y,z'
'x,-y,z'
'x+1/2,y+1/2,z+1/2'
'-x+1/2,-y+1/2,z+1/2'
'-x+1/2,y+1/2,z+1/2'
'x+1/2,-y+1/2,z+1/2'
loop_
_atom_site_label
_atom_site_type_symbol
_atom_site_fract_x
_atom_site_fract_y
_atom_site_fract_z
La1 La 0.000 0.157 0.000
Tb1 Tb 0.000 0.000 0.502
Tb2 Tb 0.000 0.339 0.489
Mg1 Mg 0.000 0.500 0.986
```

(b)
VASP calculation (GGA-PBE) on La2Tb3Mg after structural relaxation.

The structure in CIF format:
```
data_La2Tb3Mg
_cell_length_a 9.997
_cell_length_b 11.817
_cell_length_c 6.743
_cell_angle_alpha 90.00
_cell_angle_beta 94.18
_cell_angle_gamma 90.00
_symmetry_space_group_name_H-M 'C 1 2/c 1'
_symmetry_Int_Tables_number 15
loop_
_symmetry_equiv_pos_as_xyz
'x,y,z'
'-x,-y,-z'
'-x,y,-z+1/2'
'x,-y,z+1/2'
'x+1/2,y+1/2,z'
'-x+1/2,-y+1/2,-z'
'-x+1/2,y+1/2,-z+1/2'
'x+1/2,-y+1/2,z+1/2'
loop_
_atom_site_label
_atom_site_type_symbol
_atom_site_fract_x
_atom_site_fract_y
_atom_site_fract_z
La1 La 0.162 0.235 0.208
Tb1 Tb 0.000 0.048 0.750
Tb2 Tb 0.187 0.484 0.489
Mg1 Mg 0.000 0.319 0.750
```

Which is most stable, and by how much? (b), by 0.203 eV/atom.

(a)
VASP calculation (GGA-PBE) on LaTb3Mg after structural relaxation.

The structure in CIF format:
```
data_LaTb3Mg
_cell_length_a 15.202
_cell_length_b 13.065
_cell_length_c 6.527
_cell_angle_alpha 90.00
_cell_angle_beta 104.05
_cell_angle_gamma 90.00
_symmetry_space_group_name_H-M 'C 1 2/c 1'
_symmetry_Int_Tables_number 15
loop_
_symmetry_equiv_pos_as_xyz
'x,y,z'
'-x,-y,-z'
'-x,y,-z+1/2'
'x,-y,z+1/2'
'x+1/2,y+1/2,z'
'-x+1/2,-y+1/2,-z'
'-x+1/2,y+1/2,-z+1/2'
'x+1/2,-y+1/2,z+1/2'
loop_
_atom_site_label
_atom_site_type_symbol
_atom_site_fract_x
_atom_site_fract_y
_atom_site_fract_z
La1 La 0.100 0.075 0.469
Tb1 Tb 0.099 0.195 0.968
Tb2 Tb 0.191 0.316 0.638
Tb3 Tb 0.201 0.426 0.143
Mg1 Mg 0.000 0.341 0.250
Mg2 Mg 0.000 0.421 0.750
```

(b)
VASP calculation (GGA-PBE) on LaTb3Mg after structural relaxation.

The structure in CIF format:
```
data_LaTb3Mg
_cell_length_a 3.739
_cell_length_b 6.873
_cell_length_c 12.810
_cell_angle_alpha 86.47
_cell_angle_beta 89.97
_cell_angle_gamma 74.23
_symmetry_space_group_name_H-M 'P -1'
_symmetry_Int_Tables_number 2
loop_
_symmetry_equiv_pos_as_xyz
'x,y,z'
'-x,-y,-z'
loop_
_atom_site_label
_atom_site_type_symbol
_atom_site_fract_x
_atom_site_fract_y
_atom_site_fract_z
La1 La 0.235 0.029 0.256
Tb1 Tb 0.036 0.427 0.687
Tb2 Tb 0.149 0.202 0.946
Tb3 Tb 0.367 0.766 0.524
Mg1 Mg 0.448 0.603 0.876
```

Which is most stable, and by how much? (b), by 0.051 eV/atom.